This record from Alexandria via LeMat-Bulk describes NiHgF2 after structural relaxation. The functional is PBE with a Hubbard U.

Output
Crystal system   trigonal
Energy   -2.48 eV per atom
Total moment   1.1 Bohr magnetons per cell

Unit cell a=7.843 b=7.843 c=7.843 alpha=22.91 beta=22.91 gamma=22.91
Atoms (fractional coordinates):
Ni 0.000 0.000 0.000
Hg 0.500 0.500 0.500
F 0.081 0.081 0.081
F 0.919 0.919 0.919